Record 1
## CuPS2N (PBE)

Data for an optimized crystal structure of CuPS2N.

Values from the calculation:
Polymorph energy (0 for the lowest one): 0 meV per atom

The structure in extended XYZ format:
```
5
Lattice="4.6852 0.0000 0.0000 0.0000 4.6852 0.0000 0.0000 0.0000 3.1871" Properties=species:S:1:pos:R:3 pbc="T T T"
P 0.0000 0.0000 0.0000
S 0.0000 2.3426 0.0000
S 2.3426 0.0000 0.0000
Cu 2.3426 2.3426 1.5936
N 0.0000 0.0000 1.5936
```

***

Record 2
## HgSbTe2Pb (PBE)

Data for an optimized crystal structure of HgSbTe2Pb.

Values from the calculation:
Polymorph energy (0 for the lowest one): 142 meV per atom

The structure in extended XYZ format:
```
5
Lattice="-0.4899 5.3905 -2.3798 -1.0295 -2.4296 -5.2914 -5.8488 -0.0243 1.1491" Properties=species:S:1:pos:R:3 pbc="T T T"
Pb 0.0000 0.0000 0.0000
Sb -2.9244 -0.0121 0.5745
Te -0.5147 -1.2148 -2.6457
Te -0.2450 2.6953 -1.1899
Hg -3.6841 1.4684 -3.2610
```

***

Record 3
## KBa2SnH (PBE)

Data for an optimized crystal structure of KBa2SnH.

The structure in extended XYZ format:
```
5
Lattice="-3.6702 -3.3006 -2.8069 3.7486 -4.2637 0.1122 -1.9934 -1.6335 4.5274" Properties=species:S:1:pos:R:3 pbc="T T T"
H 0.0000 0.0000 0.0000
K -0.9967 -0.8168 2.2637
Ba 1.8743 -2.1318 0.0561
Ba -1.8351 -1.6503 -1.4034
Sn -0.9576 -4.5989 0.9164
```

***

Record 4
## LaPrGdDy (PBE)

Data for an optimized crystal structure of LaPrGdDy.

Values from the calculation:
Formation enthalpy at 0 K: 0.10 eV/atom

The structure in extended XYZ format:
```
4
Lattice="-1.2366 -5.0469 -2.5854 2.3647 -1.2820 -5.1429 4.0540 -4.1359 -0.3799" Properties=species:S:1:pos:R:3 pbc="T T T"
Pr 3.8866 -7.8485 -6.0812
Gd 0.0000 0.0000 0.0000
La 1.2955 -2.6162 -2.0271
Dy 2.5910 -5.2324 -4.0541
```

***

Record 5
## UCu3S2F6 (PBE)

Data for an optimized crystal structure of UCu3S2F6.

The structure in extended XYZ format:
```
12
Lattice="-4.9536 -2.2402 -0.0465 2.4475 -5.4935 3.9362 1.1961 7.6565 3.3796" Properties=species:S:1:pos:R:3 pbc="T T T"
U -2.4768 -1.1201 -0.0233
Cu 1.2237 -2.7468 1.9681
Cu -0.6550 -0.0386 3.6346
Cu -1.8788 2.7081 1.6665
S 0.2673 -1.9484 3.6771
S -1.5774 1.8711 3.5922
F -2.9273 -1.9063 1.8237
F 1.6172 1.8290 5.4456
F -0.2049 -0.2199 6.3830
F -1.1052 0.1427 0.8863
F 0.1633 5.0924 3.1073
F -1.4733 -5.1697 4.1620
```

***

Record 6
## Ag2IF (PBE)

Data for an optimized crystal structure of Ag2IF.

Values from the calculation:
Polymorph energy (0 for the lowest one): 25 meV per atom

The structure in extended XYZ format:
```
8
Lattice="-2.6200 -4.2190 -2.4266 4.6364 -1.3251 -2.7021 2.8339 -6.8608 2.5734" Properties=species:S:1:pos:R:3 pbc="T T T"
I 0.0000 0.0000 0.0000
I 0.6110 -6.9259 -1.2088
Ag -0.1494 -4.1956 -1.0258
Ag 3.0787 -3.3929 -1.5340
Ag 3.2355 -7.3258 -0.1995
Ag 3.5358 -9.8955 -2.3512
F 1.0082 -2.7720 -2.5643
F 4.2392 -5.4790 -1.3465
```

***

| no. | uncorrected energy (eV/f.u.) |
| --- | --- |
| 1 | -22.82 |
| 2 | -11.35 |
| 3 | -14.25 |
| 4 | -28.00 |
| 5 | -66.16 |
| 6 | -11.46 |